DFT (PBE-GGA) results for a geometry-optimized KCoPtCl6 structure.

Lattice parameters (Å, degrees): 6.3373 6.3426 6.9798 91.35 91.93 116.63
Sites, in units of the cell vectors:
K 0.0000 0.0000 0.0000
Co 0.6702 0.3181 0.5013
Pt 0.3289 0.6676 0.4994
Cl 0.0019 0.6403 0.3114
Cl 0.3552 0.9952 0.6840
Cl 0.3667 0.3811 0.3066
Cl 0.6184 0.6334 0.6943
Cl 0.6327 0.0278 0.2862
Cl 0.9708 0.3700 0.7124

Computed properties:
The calculation puts the total energy at -32.29 eV for the cell shown.

***

DFT (PBE-GGA) results for a geometry-optimized Ba3PuCu2O8 structure.

Lattice parameters (Å, degrees): 5.9010 5.9010 7.7581 90.00 90.00 120.00
Sites, in units of the cell vectors:
Ba 0.0000 0.0000 0.0000
Ba 0.3333 0.6667 0.6601
Ba 0.6667 0.3333 0.3399
Pu 0.0000 0.0000 0.5000
Cu 0.3333 0.6667 0.2076
Cu 0.6667 0.3333 0.7924
O 0.1624 0.3248 0.3434
O 0.1624 0.8376 0.3434
O 0.3248 0.1624 0.6566
O 0.3333 0.6667 0.9752
O 0.6667 0.3333 0.0248
O 0.6752 0.8376 0.3434
O 0.8376 0.1624 0.6566
O 0.8376 0.6752 0.6566

Computed properties:
The calculation puts the total energy at -96.21 eV for the cell shown.

***

DFT (PBE-GGA) results for a geometry-optimized AcGdAu4 structure.

Lattice parameters (Å, degrees): 5.8152 5.8152 5.8152 60.00 60.00 60.00
Sites, in units of the cell vectors:
Ac 0.0000 0.0000 0.0000
Gd 0.2500 0.2500 0.2500
Au 0.1274 0.6242 0.6242
Au 0.6242 0.1274 0.6242
Au 0.6242 0.6242 0.1274
Au 0.6242 0.6242 0.6242

Computed properties:
The calculation puts the total energy at -34.44 eV for the cell shown.

***

DFT (PBE-GGA) results for a geometry-optimized Li3Nd2TmSe6 structure.

Lattice parameters (Å, degrees): 7.1848 7.1848 6.9443 99.90 99.90 120.02
Sites, in units of the cell vectors:
Li 0.0000 0.0000 0.0000
Li 0.3376 0.6624 0.0000
Li 0.6624 0.3376 0.0000
Nd 0.1670 0.8330 0.5000
Nd 0.8330 0.1670 0.5000
Tm 0.5000 0.5000 0.5000
Se 0.0926 0.4145 0.2429
Se 0.2625 0.2625 0.7546
Se 0.4145 0.0926 0.2429
Se 0.5855 0.9074 0.7571
Se 0.7375 0.7375 0.2454
Se 0.9074 0.5855 0.7571

Computed properties:
The calculation puts the total energy at -60.68 eV for the cell shown.

***

DFT (PBE-GGA) results for a geometry-optimized Te16Rh15 structure.

Lattice parameters (Å, degrees): 9.0471 8.0967 9.0507 90.00 102.10 90.00
Sites, in units of the cell vectors:
Te 0.0366 0.0000 0.2080
Te 0.0378 0.5000 0.2085
Te 0.2121 0.2525 0.5440
Te 0.2121 0.7475 0.5440
Te 0.2911 0.2471 0.9567
Te 0.2911 0.7529 0.9567
Te 0.4455 0.5000 0.2849
Te 0.4612 0.0000 0.2945
Te 0.5388 0.0000 0.7055
Te 0.5545 0.5000 0.7151
Te 0.7089 0.2471 0.0433
Te 0.7089 0.7529 0.0433
Te 0.7879 0.2525 0.4560
Te 0.7879 0.7475 0.4560
Te 0.9622 0.5000 0.7915
Te 0.9634 0.0000 0.7920
Rh 0.0000 0.2390 0.0000
Rh 0.0000 0.5000 0.5000
Rh 0.0000 0.7610 0.0000
Rh 0.2404 0.0000 0.7375
Rh 0.2440 0.2450 0.2553
Rh 0.2440 0.7550 0.2553
Rh 0.2648 0.5000 0.7425
Rh 0.5000 0.0000 0.0000
Rh 0.5000 0.2647 0.5000
Rh 0.5000 0.5000 0.0000
Rh 0.5000 0.7353 0.5000
Rh 0.7352 0.5000 0.2575
Rh 0.7560 0.2450 0.7447
Rh 0.7560 0.7550 0.7447
Rh 0.7596 0.0000 0.2625

Computed properties:
The calculation puts the total energy at -170.82 eV for the cell shown.

***

DFT (PBE-GGA) results for a geometry-optimized Tl12In5Sn2 structure.

Lattice parameters (Å, degrees): 11.0799 11.0799 5.6558 104.03 104.03 59.78
Sites, in units of the cell vectors:
Tl 0.0434 0.5552 0.7985
Tl 0.0929 0.0929 0.0962
Tl 0.1406 0.6690 0.4053
Tl 0.3310 0.8594 0.5947
Tl 0.4017 0.4017 0.9007
Tl 0.4448 0.9566 0.2015
Tl 0.5552 0.0434 0.7985
Tl 0.5983 0.5983 0.0993
Tl 0.6690 0.1406 0.4053
Tl 0.8594 0.3310 0.5947
Tl 0.9071 0.9071 0.9038
Tl 0.9566 0.4448 0.2015
In 0.2061 0.2061 0.7063
In 0.3045 0.3045 0.3074
In 0.5000 0.5000 0.5000
In 0.6955 0.6955 0.6926
In 0.7939 0.7939 0.2937
Sn 0.2525 0.7475 0.0000
Sn 0.7475 0.2525 0.0000

Computed properties:
The calculation puts the total energy at -49.49 eV for the cell shown.

***

DFT (PBE-GGA) results for a geometry-optimized Ba2YCd structure.

Lattice parameters (Å, degrees): 4.2280 4.2280 9.2383 90.00 90.00 90.00
Sites, in units of the cell vectors:
Ba 0.0000 0.0000 0.2264
Ba 0.0000 0.0000 0.7736
Y 0.5000 0.5000 0.5000
Cd 0.5000 0.5000 0.0000

Computed properties:
The calculation puts the total energy at -11.10 eV for the cell shown.

***

DFT (PBE-GGA) results for a geometry-optimized Te2RuCl structure.

Lattice parameters (Å, degrees): 12.4973 3.4980 5.7471 90.00 115.08 90.00
Sites, in units of the cell vectors:
Te 0.0000 0.0000 0.0000
Te 0.1404 0.0000 0.6661
Te 0.5000 0.5000 0.0000
Te 0.6404 0.5000 0.6661
Ru 0.1573 0.5000 0.0160
Ru 0.6573 0.0000 0.0160
Cl 0.3001 0.0000 0.3087
Cl 0.8001 0.5000 0.3087

Computed properties:
The offset from the most stable computed form is 164.1 meV/atom.

***

DFT (PBE-GGA) results for a geometry-optimized Zr2TlSi structure.

Lattice parameters (Å, degrees): 3.1208 3.1208 8.3542 90.00 90.00 90.00
Sites, in units of the cell vectors:
Zr 0.0000 0.0000 0.2171
Zr 0.0000 0.0000 0.7829
Tl 0.5000 0.5000 0.5000
Si 0.5000 0.5000 0.0000

Computed properties:
The calculation puts the total energy at -26.16 eV for the cell shown.

***

DFT (PBE-GGA) results for a geometry-optimized Mg7Ag3 structure.

Lattice parameters (Å, degrees): 7.7776 7.7776 5.9959 106.59 106.59 35.38
Sites, in units of the cell vectors:
Mg 0.0000 0.0000 0.0000
Mg 0.1989 0.1989 0.6943
Mg 0.3815 0.3815 0.1078
Mg 0.4016 0.4016 0.6238
Mg 0.5984 0.5984 0.3762
Mg 0.6185 0.6185 0.8922
Mg 0.8011 0.8011 0.3057
Ag 0.0000 0.0000 0.5000
Ag 0.1957 0.1957 0.2057
Ag 0.8043 0.8043 0.7943

Computed properties:
The offset from the most stable computed form is 0.0 meV/atom.

***

DFT (PBE-GGA) results for a geometry-optimized CsAsIrSe2 structure.

Lattice parameters (Å, degrees): 5.5409 5.5409 5.9105 90.00 90.00 90.00
Sites, in units of the cell vectors:
Cs 0.0000 0.0000 0.0000
As 0.0000 0.0000 0.5000
Ir 0.5000 0.5000 0.5000
Se 0.0000 0.5000 0.0000
Se 0.5000 0.0000 0.0000

Computed properties:
The calculation puts the total energy at -9.61 eV for the cell shown.

***

DFT (PBE-GGA) results for a geometry-optimized La2PmDy3 structure.

Lattice parameters (Å, degrees): 9.2830 9.2830 7.0433 100.95 100.95 44.08
Sites, in units of the cell vectors:
La 0.1689 0.1838 0.0884
La 0.1838 0.1689 0.5884
La 0.8162 0.8311 0.4116
La 0.8311 0.8162 0.9116
Pm 0.2358 0.7642 0.2500
Pm 0.7642 0.2358 0.7500
Dy 0.2368 0.7632 0.7500
Dy 0.3567 0.3681 0.4318
Dy 0.3681 0.3567 0.9318
Dy 0.6319 0.6433 0.0682
Dy 0.6433 0.6319 0.5682
Dy 0.7632 0.2368 0.2500

Computed properties:
The offset from the most stable computed form is 45.9 meV/atom.

***

The calculation returns the following D(E_F) values, one per record and in order: 1.3, 10.6, 6.0, 0.0, 23.7, 6.1, 6.1, 4.5, 1.9, 3.1, 6.0, 19.0 states/eV per cell.